[1]
Here is YBeTl after structural relaxation from Alexandria. Energies are from PBE-GGA.

formation energy: 49 kJ/mol of formula units
SG: Pnma (62)

a = 6.449 Å, b = 4.402 Å, c = 9.379 Å
α = 90.00°, β = 90.00°, γ = 90.00°
Fractional positions:
Y 0.156 0.250 0.095
Y 0.344 0.750 0.595
Y 0.656 0.250 0.405
Y 0.844 0.750 0.905
Be 0.042 0.250 0.725
Be 0.458 0.750 0.225
Be 0.542 0.250 0.775
Be 0.958 0.750 0.275
Tl 0.146 0.250 0.411
Tl 0.354 0.750 0.911
Tl 0.646 0.250 0.089
Tl 0.854 0.750 0.589

***

[2]
Here is Na2NdRhO4 after structural relaxation from Alexandria. Energies are from PBE-GGA.

raw formation energy: -1.7836 eV/atom
SG: P2/m (10)

a = 5.498 Å, b = 3.398 Å, c = 5.987 Å
α = 90.00°, β = 109.07°, γ = 90.00°
Fractional positions:
Na 0.000 0.000 0.000
Na 0.500 0.500 0.000
Nd 0.000 0.500 0.500
Rh 0.500 0.000 0.500
O 0.261 0.000 0.729
O 0.302 0.500 0.293
O 0.698 0.500 0.707
O 0.739 0.000 0.271

***

[3]
Here is Ba2AsPd2 after structural relaxation from Alexandria. Energies are from PBE-GGA.

formation energy: -88 kJ/mol of formula units
SG: P4/mbm (127)

a = 8.921 Å, b = 8.921 Å, c = 3.987 Å
α = 90.00°, β = 90.00°, γ = 90.00°
Fractional positions:
Ba 0.182 0.318 0.000
Ba 0.318 0.818 0.000
Ba 0.682 0.182 0.000
Ba 0.818 0.682 0.000
As 0.000 0.000 0.000
As 0.500 0.500 0.000
Pd 0.105 0.605 0.500
Pd 0.395 0.105 0.500
Pd 0.605 0.895 0.500
Pd 0.895 0.395 0.500

***

[4]
Here is CeZrPa14 after structural relaxation from Alexandria. Energies are from PBE-GGA.

formation energy: 47 kJ/mol of formula units
SG: Amm2 (38)

a = 9.518 Å, b = 6.501 Å, c = 6.501 Å
α = 90.00°, β = 90.00°, γ = 90.00°
Fractional positions:
Ce 0.000 0.000 0.000
Zr 0.000 0.501 0.501
Pa 0.000 0.001 0.500
Pa 0.000 0.500 0.001
Pa 0.249 0.253 0.253
Pa 0.249 0.253 0.747
Pa 0.249 0.747 0.253
Pa 0.249 0.747 0.747
Pa 0.500 0.000 0.000
Pa 0.500 0.000 0.500
Pa 0.500 0.500 0.000
Pa 0.500 0.500 0.500
Pa 0.751 0.253 0.253
Pa 0.751 0.253 0.747
Pa 0.751 0.747 0.253
Pa 0.751 0.747 0.747

***

[5]
Here is MgScAl after structural relaxation from Alexandria. Energies are from PBE-GGA.

formation energy: -56 kJ/mol of formula units
SG: I4mm (107)

a = 6.649 Å, b = 6.649 Å, c = 6.649 Å
α = 152.70°, β = 152.70°, γ = 38.99°
Fractional positions:
Mg 0.000 0.000 0.000
Sc 0.690 0.690 0.000
Al 0.342 0.342 0.000

***

[6]
Here is TbSmP2Pd2 after structural relaxation from Alexandria. Energies are from PBE-GGA.

formation energy: -722 kJ/mol of formula units
SG: P-3m1 (164)

a = 4.202 Å, b = 4.202 Å, c = 7.626 Å
α = 90.00°, β = 90.00°, γ = 120.00°
Fractional positions:
Tb 0.000 0.000 0.000
Sm 0.000 0.000 0.500
P 0.333 0.667 0.753
P 0.667 0.333 0.247
Pd 0.333 0.667 0.244
Pd 0.667 0.333 0.756

***

[7]
Here is Mg5Tc after structural relaxation from Alexandria. Energies are from PBE-GGA.

formation energy: 83 kJ/mol of formula units
SG: Amm2 (38)

a = 4.860 Å, b = 8.359 Å, c = 8.359 Å
α = 20.42°, β = 90.00°, γ = 90.00°
Fractional positions:
Mg 0.000 0.000 0.000
Mg 0.000 0.301 0.301
Mg 0.500 0.097 0.097
Mg 0.500 0.420 0.420
Mg 0.500 0.746 0.746
Tc 0.000 0.652 0.652

***

[8]
Here is Pr2Sm5Ho12 after structural relaxation from Alexandria. Energies are from PBE-GGA.

formation energy: 151 kJ/mol of formula units
SG: P-1 (2)

a = 6.759 Å, b = 8.803 Å, c = 11.452 Å
α = 110.92°, β = 92.27°, γ = 100.37°
Fractional positions:
Pr 0.158 0.382 0.073
Pr 0.842 0.618 0.927
Sm 0.048 0.186 0.462
Sm 0.377 0.740 0.987
Sm 0.500 0.000 0.500
Sm 0.623 0.260 0.013
Sm 0.952 0.814 0.538
Ho 0.117 0.780 0.250
Ho 0.151 0.978 0.866
Ho 0.166 0.573 0.687
Ho 0.342 0.557 0.414
Ho 0.385 0.143 0.234
Ho 0.389 0.308 0.777
Ho 0.611 0.692 0.223
Ho 0.615 0.857 0.766
Ho 0.658 0.443 0.586
Ho 0.834 0.427 0.313
Ho 0.849 0.022 0.134
Ho 0.883 0.220 0.750